[1]
NbReSi | PBE-GGA | optimized geometry

Computed properties:
E_tot	-9.1601	eV per atom
space-group type	No. 216

Cell lengths 4.2510, 4.2510, 4.2510 Å; angles 60.00, 60.00, 60.00 degrees
Closest atoms and distances in Å follow each position.
Positions (direct):
Nb 0.2500 0.2500 0.2500  4 Re 2.60
Re 0.0000 0.0000 0.0000  4 Nb 2.60, 4 Si 2.60
Si 0.7500 0.7500 0.7500  4 Re 2.60

[2]
Hf3Zn2Ga2 | PBE-GGA | optimized geometry

Computed properties:
E_tot	-5.6011	eV per atom
space-group type	No. 160

Cell lengths 8.0319, 8.0319, 8.0319 Å; angles 32.98, 32.98, 32.98 degrees
Closest atoms and distances in Å follow each position.
Positions (direct):
Zn 0.2430 0.2430 0.2430  7 Hf 2.76-3.08
Zn 0.7545 0.7545 0.7545  5 Hf 2.69-2.95
Hf 0.8726 0.8726 0.8726  4 Zn 2.69-2.76, 4 Ga 2.80-3.00
Hf 0.3784 0.3784 0.3784  4 Ga 2.70-2.79, 3 Zn 2.81
Hf 0.6248 0.6248 0.6248  4 Ga 2.84-2.91, 4 Zn 2.85-2.95
Ga 0.0046 0.0046 0.0046  7 Hf 2.79-3.00
Ga 0.4972 0.4972 0.4972  5 Hf 2.70-2.91

[3]
TaCoPt2 | PBE-GGA | optimized geometry

Computed properties:
E_tot	-8.3545	eV per atom
energy of formation	-587	meV/atom
space-group type	No. 59

Cell lengths 4.4464, 5.4619, 4.8675 Å; angles 90.00, 90.00, 90.00 degrees
Closest atoms and distances in Å follow each position.
Positions (direct):
Pt 0.5000 0.2519 0.6736  4 Ta 2.70-2.87, 4 Pt 2.71-2.79, 4 Co 2.71-2.82
Pt 0.0000 0.2481 0.3264  4 Ta 2.70-2.87, 4 Pt 2.71-2.79, 4 Co 2.71-2.82
Pt 0.5000 0.7481 0.6736  4 Ta 2.70-2.87, 4 Pt 2.71-2.79, 4 Co 2.71-2.82
Pt 0.0000 0.7519 0.3264  4 Ta 2.70-2.87, 4 Pt 2.71-2.79, 4 Co 2.71-2.82
Ta 0.5000 0.5000 0.1542  8 Pt 2.70-2.87, 4 Co 2.72-2.73
Ta 0.0000 0.0000 0.8458  8 Pt 2.70-2.87, 4 Co 2.72-2.73
Co 0.5000 0.0000 0.1689  8 Pt 2.71-2.82, 4 Ta 2.72-2.73
Co 0.0000 0.5000 0.8311  8 Pt 2.71-2.82, 4 Ta 2.72-2.73

[4]
YMgCd2 | PBE-GGA | optimized geometry

Computed properties:
E_tot	-2.7156	eV per atom
space-group type	No. 123

Cell lengths 4.9488, 4.9488, 3.9151 Å; angles 90.00, 90.00, 90.00 degrees
Closest atoms and distances in Å follow each position.
Positions (direct):
Mg 0.0000 0.0000 0.0000  8 Cd 3.16, 4 Y 3.50
Cd 0.0000 0.5000 0.5000  4 Mg 3.16, 4 Y 3.16, 4 Cd 3.50
Cd 0.5000 0.0000 0.5000  4 Mg 3.16, 4 Y 3.16, 4 Cd 3.50
Y 0.5000 0.5000 0.0000  8 Cd 3.16, 4 Mg 3.50

[5]
Th2U | PBE-GGA | optimized geometry

Computed properties:
E_tot	-6.0579	eV per atom
energy of formation	2650	meV/atom
space-group type	No. 227

Cell lengths 8.9090, 8.9090, 8.9090 Å; angles 60.00, 60.00, 60.00 degrees
Closest atoms and distances in Å follow each position.
Positions (direct):
U 0.2500 0.2500 0.2500  4 Th 2.73
U 0.5000 0.5000 0.5000  4 Th 2.73
Th 0.3750 0.8750 0.3750  2 U 2.73
Th 0.3750 0.3750 0.3750  2 U 2.73
Th 0.3750 0.3750 0.8750  2 U 2.73
Th 0.8750 0.3750 0.3750  2 U 2.73

[6]
NdHf2 | PBE-GGA | optimized geometry

Computed properties:
E_tot	-7.8535	eV per atom
energy of formation	371	meV/atom
space-group type	No. 227

Cell lengths 6.1160, 6.1160, 6.1160 Å; angles 60.00, 60.00, 60.00 degrees
Closest atoms and distances in Å follow each position.
Positions (direct):
Nd 0.0000 0.0000 0.0000  12 Hf 3.59, 4 Nd 3.75
Nd 0.2500 0.2500 0.2500  12 Hf 3.59, 4 Nd 3.75
Hf 0.6250 0.6250 0.1250  6 Hf 3.06
Hf 0.6250 0.1250 0.6250  6 Hf 3.06
Hf 0.6250 0.6250 0.6250  6 Hf 3.06
Hf 0.1250 0.6250 0.6250  6 Hf 3.06